Arrangement a

Density functional theory data (PBE) for a relaxed Li2BeIn crystal.

Cell and atoms, written as POSCAR:
```
Li2BeIn
1.0
-4.973 7.520 1.482
-6.895 5.990 -0.255
-6.801 5.468 2.707
Li In Be
2 1 1
Direct
0.507 0.507 0.507 Li
0.993 0.993 0.993 Li
0.750 0.750 0.750 In
0.250 0.250 0.250 Be
```

SG	No. 166
volume	70.3	Å³/cell
total magnetization	0.0	μB/f.u.

Arrangement b

Density functional theory data (PBE) for a relaxed Li2BeIn crystal.

Cell and atoms, written as POSCAR:
```
Li2BeIn
1.0
-2.218 -3.711 2.717
2.826 -1.386 -4.020
2.325 -0.717 1.494
In Li Be
1 2 1
Direct
0.000 0.500 0.500 In
0.500 0.500 0.000 Li
0.000 0.000 0.000 Li
0.500 0.000 0.500 Be
```

SG	No. 12
volume	64.6	Å³/cell
total magnetization	0.0	μB/f.u.

Arrangement c

Density functional theory data (PBE) for a relaxed Li2BeIn crystal.

Cell and atoms, written as POSCAR:
```
Li2BeIn
1.0
0.000 3.110 3.110
3.110 0.000 3.110
3.110 3.110 0.000
Li In Be
2 1 1
Direct
0.750 0.750 0.750 Li
0.250 0.250 0.250 Li
0.500 0.500 0.500 In
0.000 0.000 0.000 Be
```

SG	No. 225
volume	60.1	Å³/cell
total magnetization	0.0	μB/f.u.

We find arrangement c to be the most stable, with the next structure 4.9 kJ/mol of atoms higher.

Arrangement a

Density functional theory data (PBE) for a relaxed LiBe2In2 crystal.

Cell and atoms, written as POSCAR:
```
LiBe2In2
1.0
-1.013 -0.704 -4.111
-3.003 -2.813 1.222
-5.456 2.010 -1.241
Be In Li
2 2 1
Direct
0.398 0.398 0.205 Be
0.602 0.602 0.795 Be
0.250 0.750 0.500 In
0.750 0.250 0.500 In
0.000 0.000 0.000 Li
```

SG	No. 139
volume	94.2	Å³/cell
total magnetization	0.0	μB/f.u.

Arrangement b

Density functional theory data (PBE) for a relaxed LiBe2In2 crystal.

Cell and atoms, written as POSCAR:
```
LiBe2In2
1.0
7.162 0.000 0.000
0.000 7.162 0.000
0.000 0.000 3.290
Li In Be
2 4 4
Direct
0.000 0.000 0.000 Li
0.500 0.500 0.000 Li
0.809 0.309 0.500 In
0.691 0.809 0.500 In
0.309 0.191 0.500 In
0.191 0.691 0.500 In
0.895 0.605 0.000 Be
0.105 0.395 0.000 Be
0.395 0.895 0.000 Be
0.605 0.105 0.000 Be
```

SG	No. 127
volume	168.7	Å³/cell
total magnetization	0.0	μB/f.u.

We find arrangement b to be the most stable, with the next structure 7.9 kJ/mol of atoms higher.

Arrangement a

Density functional theory data (PBE) for a relaxed LiBeIn3 crystal.

Cell and atoms, written as POSCAR:
```
LiBeIn3
1.0
-3.136 -1.316 -3.631
2.790 -4.006 -0.958
-2.670 -2.640 3.263
Be In Li
1 3 1
Direct
0.500 0.500 0.500 Be
0.000 0.500 0.000 In
0.500 0.000 0.000 In
0.000 0.000 0.500 In
0.000 0.000 0.000 Li
```

SG	No. 221
volume	123.1	Å³/cell
total magnetization	0.0	μB/f.u.

Arrangement b

Density functional theory data (PBE) for a relaxed LiBeIn3 crystal.

Cell and atoms, written as POSCAR:
```
LiBeIn3
1.0
4.954 0.000 0.000
0.000 4.954 0.000
0.000 0.000 4.954
In Be Li
3 1 1
Direct
0.500 0.000 0.000 In
0.000 0.000 0.500 In
0.000 0.500 0.000 In
0.000 0.000 0.000 Be
0.500 0.500 0.500 Li
```

SG	No. 221
volume	121.6	Å³/cell
total magnetization	0.0	μB/f.u.

We find arrangement b to be the most stable, with the next structure 39.6 kJ/mol of atoms higher.

Arrangement a

Density functional theory data (PBE) for a relaxed MgBe2In crystal.

Cell and atoms, written as POSCAR:
```
MgBe2In
1.0
2.841 0.000 0.000
0.000 3.006 0.000
0.000 0.000 7.439
Mg Be In
1 2 1
Direct
0.500 0.500 0.808 Mg
0.500 0.500 0.181 Be
0.000 0.000 0.052 Be
0.000 0.000 0.460 In
```

SG	No. 25
volume	63.5	Å³/cell
total magnetization	0.0	μB/f.u.

Arrangement b

Density functional theory data (PBE) for a relaxed MgBe2In crystal.

Cell and atoms, written as POSCAR:
```
MgBe2In
1.0
-4.242 -1.898 -6.984
-2.250 -4.261 -6.867
-4.879 -4.372 -5.240
In Mg Be
1 1 2
Direct
0.250 0.250 0.250 In
0.750 0.750 0.750 Mg
0.999 0.999 0.999 Be
0.501 0.501 0.501 Be
```

SG	No. 166
volume	67.9	Å³/cell
total magnetization	0.0	μB/f.u.

Arrangement c

Density functional theory data (PBE) for a relaxed MgBe2In crystal.

Cell and atoms, written as POSCAR:
```
MgBe2In
1.0
-1.370 2.581 3.738
-0.247 -3.088 3.593
3.575 0.787 -3.018
Mg Be In
1 2 1
Direct
0.250 0.750 0.500 Mg
0.500 0.500 0.000 Be
0.000 0.000 0.000 Be
0.750 0.250 0.500 In
```

SG	No. 139
volume	62.9	Å³/cell
total magnetization	0.0	μB/f.u.

We find arrangement a to be the most stable, with the next structure 11.9 kJ/mol of atoms higher.

Arrangement a

Density functional theory data (PBE) for a relaxed MgBe2In crystal.

Cell and atoms, written as POSCAR:
```
MgBe2In
1.0
4.033 -0.150 0.239
3.089 2.598 0.239
1.483 0.510 6.471
In Be Mg
1 2 1
Direct
0.517 0.517 0.573 In
0.736 0.736 0.847 Be
0.007 0.007 0.908 Be
0.239 0.239 0.172 Mg
```

SG	No. 8
volume	69.7	Å³/cell
total magnetization	0.0	μB/f.u.

Arrangement b

Density functional theory data (PBE) for a relaxed MgBe2In crystal.

Cell and atoms, written as POSCAR:
```
MgBe2In
1.0
2.898 0.001 0.000
-0.002 2.898 0.000
0.000 0.000 7.697
Be In Mg
2 1 1
Direct
0.000 0.000 0.507 Be
0.000 0.000 0.993 Be
0.500 0.500 0.250 In
0.500 0.500 0.750 Mg
```

SG	No. 123
volume	64.6	Å³/cell
total magnetization	0.0	μB/f.u.

Arrangement c

Density functional theory data (PBE) for a relaxed MgBe2In crystal.

Cell and atoms, written as POSCAR:
```
MgBe2In
1.0
-3.247 -6.024 -0.867
3.824 0.537 1.278
-0.583 -2.427 2.827
Be In Mg
2 1 1
Direct
0.000 0.000 0.000 Be
0.500 0.000 0.500 Be
0.000 0.500 0.500 In
0.500 0.500 0.000 Mg
```

SG	No. 12
volume	62.4	Å³/cell
total magnetization	0.0	μB/f.u.

We find arrangement a to be the most stable, with the next structure 10.0 kJ/mol of atoms higher.

Arrangement a

Density functional theory data (PBE) for a relaxed MgBe2In crystal.

Cell and atoms, written as POSCAR:
```
MgBe2In
1.0
4.596 -0.052 -0.021
3.489 2.992 -0.021
0.534 0.194 4.794
Be Mg In
2 1 1
Direct
0.517 0.517 0.425 Be
0.983 0.983 0.075 Be
0.250 0.250 0.250 Mg
0.750 0.750 0.750 In
```

SG	No. 12
volume	66.8	Å³/cell
total magnetization	0.0	μB/f.u.

Arrangement b

Density functional theory data (PBE) for a relaxed MgBe2In crystal.

Cell and atoms, written as POSCAR:
```
MgBe2In
1.0
8.485 0.020 0.012
7.929 3.020 0.012
7.929 1.469 2.638
Be Mg In
2 1 1
Direct
0.990 0.990 0.990 Be
0.264 0.264 0.264 Be
0.737 0.737 0.737 Mg
0.510 0.510 0.510 In
```

SG	No. 160
volume	66.9	Å³/cell
total magnetization	0.0	μB/f.u.

We find arrangement a to be the most stable, with the next structure 0.6 kJ/mol of atoms higher.